No. 1
# meta-GGA SCAN YNbCI2, single point on PBEsol structure
# SG ... P4/mmm
# Spin magnetization ... 0.6116 μB/atom
# E_tot ... -27.480 eV/atom
# Formation energy (no corrections) ... 1432 meV/atom
# V ... 158.75 Å³/cell
data_YNbCI2
_space_group_name_H-M_alt 'P 1'
_space_group_IT_number 1
_space_group_name_Hall 'P 1'
_cell_length_a 5.2733
_cell_length_b 5.2733
_cell_length_c 5.7090
_cell_angle_alpha 90.00
_cell_angle_beta 90.00
_cell_angle_gamma 90.00
loop_
_atom_site_label
_atom_site_type_symbol
_atom_site_fract_x
_atom_site_fract_y
_atom_site_fract_z
Y1 Y 0.0000 0.0000 0.0000
Nb1 Nb 0.0000 0.0000 0.5000
C1 C 0.5000 0.5000 0.0000
I1 I 0.0000 0.5000 0.5000
I2 I 0.5000 0.0000 0.5000



No. 2
# meta-GGA SCAN NiTeCI2, single point on PBEsol structure
# SG ... P4/mmm
# Spin magnetization ... 0.1866 μB/atom
# E_tot ... -25.790 eV/atom
# Formation energy (no corrections) ... 1612 meV/atom
# V ... 128.67 Å³/cell
# Energy above the lowest structure with this stoichiometry ... 0.081 eV/atom
data_NiTeCI2
_space_group_name_H-M_alt 'P 1'
_space_group_IT_number 1
_space_group_name_Hall 'P 1'
_cell_length_a 5.1058
_cell_length_b 5.1058
_cell_length_c 4.9358
_cell_angle_alpha 90.00
_cell_angle_beta 90.00
_cell_angle_gamma 90.00
loop_
_atom_site_label
_atom_site_type_symbol
_atom_site_fract_x
_atom_site_fract_y
_atom_site_fract_z
Ni1 Ni 0.0000 0.0000 0.0000
Te1 Te 0.0000 0.0000 0.5000
C1 C 0.5000 0.5000 0.5000
I1 I 0.0000 0.5000 0.0000
I2 I 0.5000 0.0000 0.0000



No. 3
# meta-GGA SCAN NiTeCI2, single point on PBEsol structure
# SG ... P4/mmm
# Spin magnetization ... 0.2994 μB/atom
# E_tot ... -25.871 eV/atom
# Formation energy (no corrections) ... 1530 meV/atom
# V ... 108.43 Å³/cell
# Energy above the lowest structure with this stoichiometry ... 0.000 eV/atom
data_NiTeCI2
_space_group_name_H-M_alt 'P 1'
_space_group_IT_number 1
_space_group_name_Hall 'P 1'
_cell_length_a 4.7340
_cell_length_b 4.7340
_cell_length_c 4.8380
_cell_angle_alpha 90.00
_cell_angle_beta 90.00
_cell_angle_gamma 90.00
loop_
_atom_site_label
_atom_site_type_symbol
_atom_site_fract_x
_atom_site_fract_y
_atom_site_fract_z
Ni1 Ni 0.0000 0.0000 0.0000
Te1 Te 0.5000 0.5000 0.0000
C1 C 0.5000 0.5000 0.5000
I1 I 0.0000 0.5000 0.5000
I2 I 0.5000 0.0000 0.5000



No. 4
# meta-GGA SCAN OsC3I2O3, single point on PBEsol structure
# SG ... C2/m
# Spin magnetization ... 0.0000 μB/atom
# E_tot ... -22.210 eV/atom
# Formation energy (no corrections) ... -615 meV/atom
# V ... 429.35 Å³/cell
data_OsC3I2O3
_space_group_name_H-M_alt 'P 1'
_space_group_IT_number 1
_space_group_name_Hall 'P 1'
_cell_length_a 6.7910
_cell_length_b 6.7910
_cell_length_c 10.1741
_cell_angle_alpha 103.14
_cell_angle_beta 103.14
_cell_angle_gamma 72.51
loop_
_atom_site_label
_atom_site_type_symbol
_atom_site_fract_x
_atom_site_fract_y
_atom_site_fract_z
Os1 Os 0.0649 0.0649 0.2102
Os2 Os 0.9351 0.9351 0.7898
C1 C 0.0781 0.7370 0.6570
C2 C 0.2355 0.2355 0.2014
C3 C 0.2630 0.9219 0.3430
C4 C 0.7370 0.0781 0.6570
C5 C 0.7645 0.7645 0.7986
C6 C 0.9219 0.2630 0.3430
I1 I 0.1834 0.1834 0.7793
I2 I 0.2306 0.7694 0.0000
I3 I 0.7694 0.2306 0.0000
I4 I 0.8166 0.8166 0.2207
O1 O 0.1682 0.6166 0.5765
O2 O 0.3412 0.3412 0.2017
O3 O 0.3834 0.8318 0.4235
O4 O 0.6166 0.1682 0.5765
O5 O 0.6588 0.6588 0.7983
O6 O 0.8318 0.3834 0.4235



No. 5
# meta-GGA SCAN PtCI2O, single point on PBEsol structure
# SG ... C2/c
# Spin magnetization ... 0.0000 μB/atom
# E_tot ... -32.412 eV/atom
# Formation energy (no corrections) ... -410 meV/atom
# V ... 585.51 Å³/cell
data_PtCI2O
_space_group_name_H-M_alt 'P 1'
_space_group_IT_number 1
_space_group_name_Hall 'P 1'
_cell_length_a 7.0842
_cell_length_b 7.0842
_cell_length_c 12.9600
_cell_angle_alpha 107.46
_cell_angle_beta 107.46
_cell_angle_gamma 77.11
loop_
_atom_site_label
_atom_site_type_symbol
_atom_site_fract_x
_atom_site_fract_y
_atom_site_fract_z
Pt1 Pt 0.0899 0.2561 0.0829
Pt2 Pt 0.2561 0.0899 0.5829
Pt3 Pt 0.7439 0.9101 0.4171
Pt4 Pt 0.9101 0.7439 0.9171
C1 C 0.2754 0.4073 0.0888
C2 C 0.4073 0.2754 0.5888
C3 C 0.5927 0.7246 0.4112
C4 C 0.7246 0.5927 0.9112
I1 I 0.0444 0.4505 0.7654
I2 I 0.0479 0.8235 0.5805
I3 I 0.1765 0.9521 0.9195
I4 I 0.4505 0.0444 0.2654
I5 I 0.5495 0.9556 0.7346
I6 I 0.8235 0.0479 0.0805
I7 I 0.9521 0.1765 0.4195
I8 I 0.9556 0.5495 0.2346
O1 O 0.3931 0.5020 0.0948
O2 O 0.4980 0.6069 0.4052
O3 O 0.5020 0.3931 0.5948
O4 O 0.6069 0.4980 0.9052



No. 6
# meta-GGA SCAN RbCIO2, single point on PBEsol structure
# SG ... P4/mmm
# Spin magnetization ... 0.2989 μB/atom
# E_tot ... -14.993 eV/atom
# Formation energy (no corrections) ... 1015 meV/atom
# V ... 85.15 Å³/cell
data_RbCIO2
_space_group_name_H-M_alt 'P 1'
_space_group_IT_number 1
_space_group_name_Hall 'P 1'
_cell_length_a 4.4026
_cell_length_b 4.4026
_cell_length_c 4.3931
_cell_angle_alpha 90.00
_cell_angle_beta 90.00
_cell_angle_gamma 90.00
loop_
_atom_site_label
_atom_site_type_symbol
_atom_site_fract_x
_atom_site_fract_y
_atom_site_fract_z
Rb1 Rb 0.0000 0.0000 0.0000
C1 C 0.5000 0.5000 0.5000
I1 I 0.5000 0.5000 0.0000
O1 O 0.0000 0.5000 0.5000
O2 O 0.5000 0.0000 0.5000



No. 7
# meta-GGA SCAN SrCIO2, single point on PBEsol structure
# SG ... P4/mmm
# Spin magnetization ... 0.1201 μB/atom
# E_tot ... -16.025 eV/atom
# Formation energy (no corrections) ... 291 meV/atom
# V ... 77.72 Å³/cell
data_SrCIO2
_space_group_name_H-M_alt 'P 1'
_space_group_IT_number 1
_space_group_name_Hall 'P 1'
_cell_length_a 4.2715
_cell_length_b 4.2715
_cell_length_c 4.2595
_cell_angle_alpha 90.00
_cell_angle_beta 90.00
_cell_angle_gamma 90.00
loop_
_atom_site_label
_atom_site_type_symbol
_atom_site_fract_x
_atom_site_fract_y
_atom_site_fract_z
Sr1 Sr 0.0000 0.0000 0.0000
C1 C 0.5000 0.5000 0.5000
I1 I 0.5000 0.5000 0.0000
O1 O 0.0000 0.5000 0.5000
O2 O 0.5000 0.0000 0.5000



No. 8
# meta-GGA SCAN ZrCIO2, single point on PBEsol structure
# SG ... P4/mmm
# Spin magnetization ... 0.3186 μB/atom
# E_tot ... -18.517 eV/atom
# Formation energy (no corrections) ... -517 meV/atom
# V ... 98.19 Å³/cell
# Energy above the lowest structure with this stoichiometry ... 0.000 eV/atom
data_ZrCIO2
_space_group_name_H-M_alt 'P 1'
_space_group_IT_number 1
_space_group_name_Hall 'P 1'
_cell_length_a 3.9560
_cell_length_b 3.9560
_cell_length_c 6.2739
_cell_angle_alpha 90.00
_cell_angle_beta 90.00
_cell_angle_gamma 90.00
loop_
_atom_site_label
_atom_site_type_symbol
_atom_site_fract_x
_atom_site_fract_y
_atom_site_fract_z
Zr1 Zr 0.0000 0.0000 0.0000
C1 C 0.5000 0.5000 0.5000
I1 I 0.0000 0.0000 0.5000
O1 O 0.0000 0.5000 0.0000
O2 O 0.5000 0.0000 0.0000



No. 9
# meta-GGA SCAN ZrCIO2, single point on PBEsol structure
# SG ... P4/mmm
# Spin magnetization ... 0.0000 μB/atom
# E_tot ... -17.317 eV/atom
# Formation energy (no corrections) ... 684 meV/atom
# V ... 66.82 Å³/cell
# Energy above the lowest structure with this stoichiometry ... 1.201 eV/atom
data_ZrCIO2
_space_group_name_H-M_alt 'P 1'
_space_group_IT_number 1
_space_group_name_Hall 'P 1'
_cell_length_a 3.9909
_cell_length_b 3.9909
_cell_length_c 4.1953
_cell_angle_alpha 90.00
_cell_angle_beta 90.00
_cell_angle_gamma 90.00
loop_
_atom_site_label
_atom_site_type_symbol
_atom_site_fract_x
_atom_site_fract_y
_atom_site_fract_z
Zr1 Zr 0.0000 0.0000 0.0000
C1 C 0.5000 0.5000 0.5000
I1 I 0.5000 0.5000 0.0000
O1 O 0.0000 0.5000 0.5000
O2 O 0.5000 0.0000 0.5000



No. 10
# meta-GGA SCAN Re2PbCI, single point on PBEsol structure
# SG ... P4/mmm
# Spin magnetization ... 0.2294 μB/atom
# E_tot ... -49.192 eV/atom
# Formation energy (no corrections) ... 3772 meV/atom
# V ... 137.16 Å³/cell
data_Re2PbCI
_space_group_name_H-M_alt 'P 1'
_space_group_IT_number 1
_space_group_name_Hall 'P 1'
_cell_length_a 4.8100
_cell_length_b 4.8100
_cell_length_c 5.9283
_cell_angle_alpha 90.00
_cell_angle_beta 90.00
_cell_angle_gamma 90.00
loop_
_atom_site_label
_atom_site_type_symbol
_atom_site_fract_x
_atom_site_fract_y
_atom_site_fract_z
Re1 Re 0.0000 0.5000 0.0000
Re2 Re 0.5000 0.0000 0.0000
Pb1 Pb 0.0000 0.0000 0.5000
C1 C 0.5000 0.5000 0.5000
I1 I 0.0000 0.0000 0.0000



No. 11
# meta-GGA SCAN TePbCI2, single point on PBEsol structure
# SG ... P4/mmm
# Spin magnetization ... 0.0908 μB/atom
# E_tot ... -37.765 eV/atom
# Formation energy (no corrections) ... 1558 meV/atom
# V ... 214.81 Å³/cell
data_TePbCI2
_space_group_name_H-M_alt 'P 1'
_space_group_IT_number 1
_space_group_name_Hall 'P 1'
_cell_length_a 6.0300
_cell_length_b 6.0300
_cell_length_c 5.9078
_cell_angle_alpha 90.00
_cell_angle_beta 90.00
_cell_angle_gamma 90.00
loop_
_atom_site_label
_atom_site_type_symbol
_atom_site_fract_x
_atom_site_fract_y
_atom_site_fract_z
Te1 Te 0.0000 0.0000 0.0000
Pb1 Pb 0.0000 0.0000 0.5000
C1 C 0.5000 0.5000 0.0000
I1 I 0.0000 0.5000 0.5000
I2 I 0.5000 0.0000 0.5000



No. 12
# meta-GGA SCAN PdCI3, single point on PBEsol structure
# SG ... Pm-3m
# Spin magnetization ... 0.0009 μB/atom
# E_tot ... -29.197 eV/atom
# Formation energy (no corrections) ... 1423 meV/atom
# V ... 116.24 Å³/cell
data_PdCI3
_space_group_name_H-M_alt 'P 1'
_space_group_IT_number 1
_space_group_name_Hall 'P 1'
_cell_length_a 4.8803
_cell_length_b 4.8803
_cell_length_c 4.8803
_cell_angle_alpha 90.00
_cell_angle_beta 90.00
_cell_angle_gamma 90.00
loop_
_atom_site_label
_atom_site_type_symbol
_atom_site_fract_x
_atom_site_fract_y
_atom_site_fract_z
Pd1 Pd 0.0000 0.0000 0.0000
C1 C 0.5000 0.5000 0.5000
I1 I 0.0000 0.5000 0.5000
I2 I 0.5000 0.0000 0.5000
I3 I 0.5000 0.5000 0.0000



The highest V belongs to which entry? PtCI2O



Which formula does entry 2 have? NiTeCI2



Which formula does entry 10 have? Re2PbCI